1.
Compound: MnSnPHS
Source: Alexandria
Functional: PBE
Structure: relaxed

## Properties
SG	Cm (8)
E_tot	-5.28	eV per atom
volume	17.9	Å³/atom
ΔE to the lowest computed polymorph	22	meV/atom

Lattice parameters (Å, degrees): 7.4987 3.7991 6.4836 90.00 103.84 90.00
Closest atoms and distances in Å follow each position.
Sites, in units of the cell vectors:
Sn  0.5148  0.0000  0.0807  3 P 2.88-2.89, 3 Mn 3.01-3.05
Sn  0.5148  0.5000  0.5807  3 P 2.88-2.89, 3 Mn 3.01-3.05
P  0.7747  0.5000  0.3158  3 Mn 2.17-2.20
P  0.7747  0.0000  0.8158  3 Mn 2.17-2.20
Mn  0.8057  0.5000  0.9908  3 P 2.17-2.20, 1 S 2.20
Mn  0.8057  0.0000  0.4908  3 P 2.17-2.20, 1 S 2.20
H  0.1449  0.0000  0.3828  1 S 1.37
H  0.1449  0.5000  0.8828  1 S 1.37
S  0.1073  0.5000  0.0792  1 H 1.37
S  0.1073  0.0000  0.5792  1 H 1.37

***

2.
Compound: NiAgBi2As
Source: Alexandria
Functional: PBE
Structure: relaxed

## Properties
SG	P4/mmm (123)
calculated formation energy	949.5	meV/atom
E_tot	-3.26	eV per atom
volume	29.7	Å³/atom

Lattice parameters (Å, degrees): 5.6144 4.7116 5.6144 90.00 90.00 90.00
Closest atoms and distances in Å follow each position.
Sites, in units of the cell vectors:
Ag  0.0000  0.5000  0.0000  2 As 2.36
Bi  0.5000  0.0000  0.0000  2 As 2.81
Bi  0.0000  0.0000  0.5000  2 As 2.81
Ni  0.5000  0.5000  0.5000  8 Bi 3.66, 4 Ag 3.97
As  0.0000  0.0000  0.0000  2 Ag 2.36

***

3.
Compound: YTh4Sb5
Source: Alexandria
Functional: PBE
Structure: relaxed

## Properties
formation energy without anion corrections	-0.96	eV per atom
SG	Immm (71)
E_tot	-6.63	eV per atom
volume	31.9	Å³/atom

Lattice parameters (Å, degrees): 4.4841 6.3423 11.8749 105.49 100.88 90.00
Closest atoms and distances in Å follow each position.
Sites, in units of the cell vectors:
Sb  0.4033  0.9033  0.8065  2 Y 3.12, 4 Th 3.17-3.20
Sb  0.5967  0.0967  0.1935  2 Y 3.12, 4 Th 3.17-3.20
Sb  0.7995  0.2995  0.5989  6 Th 3.17-3.18
Sb  0.2005  0.7005  0.4011  6 Th 3.17-3.18
Sb  0.0000  0.5000  0.0000  2 Y 3.17, 4 Th 3.17
Th  0.5999  0.5999  0.1999  6 Sb 3.17-3.18
Th  0.1987  0.1987  0.3974  6 Sb 3.17-3.20
Th  0.8013  0.8013  0.6026  6 Sb 3.17-3.20
Th  0.4001  0.4001  0.8001  6 Sb 3.17-3.18
Y  0.0000  0.0000  0.0000  6 Sb 3.12-3.17

***

4.
Compound: CaYBe2
Source: Alexandria
Functional: PBE
Structure: relaxed

## Properties
SG	F-43m (216)
calculated formation energy	588.2	meV/atom
E_tot	-3.39	eV per atom
volume	19.4	Å³/atom
ΔE to the lowest computed polymorph	388	meV/atom

Lattice parameters (Å, degrees): 4.7842 4.7842 4.7842 60.00 60.00 60.00
Closest atoms and distances in Å follow each position.
Sites, in units of the cell vectors:
Be  0.2500  0.2500  0.2500  4 Ca 2.93, 4 Be 2.93
Be  0.0000  0.0000  0.0000  4 Be 2.93, 4 Y 2.93
Ca  0.5000  0.5000  0.5000  4 Be 2.93, 4 Y 2.93
Y  0.7500  0.7500  0.7500  4 Be 2.93, 4 Ca 2.93

***

5.
Compound: SrLa2Te4
Source: Alexandria
Functional: PBE
Structure: relaxed

## Properties
formation energy without anion corrections	-1.12	eV per atom
SG	I4/mmm (139)
E_tot	-4.56	eV per atom
volume	41.4	Å³/atom
ΔE to the lowest computed polymorph	477	meV/atom

Lattice parameters (Å, degrees): 5.9927 5.9927 9.1202 70.82 70.82 90.00
Closest atoms and distances in Å follow each position.
Sites, in units of the cell vectors:
Te  0.8029  0.8029  0.3942  1 La 2.93, 1 Sr 3.18
Te  0.0000  0.5000  0.0000  2 Sr 3.00
Te  0.5000  0.0000  0.0000  2 Sr 3.00
Te  0.1971  0.1971  0.6058  1 La 2.93, 1 Sr 3.18
La  0.3785  0.3785  0.2430  1 Te 2.93
La  0.6215  0.6215  0.7570  1 Te 2.93
Sr  0.0000  0.0000  0.0000  6 Te 3.00-3.18

***

6.
Compound: Zr2RuCl
Source: Alexandria
Functional: PBE
Structure: relaxed

## Properties
formation energy without anion corrections	-0.33	eV per atom
SG	R3m (160)
E_tot	-7.38	eV per atom
volume	22.1	Å³/atom
ΔE to the lowest computed polymorph	371	meV/atom

Lattice parameters (Å, degrees): 9.6761 9.6761 9.6761 19.51 19.51 19.51
Closest atoms and distances in Å follow each position.
Sites, in units of the cell vectors:
Zr  0.0065  0.0065  0.0065  3 Ru 2.57
Zr  0.2447  0.2447  0.2447  3 Cl 2.62
Cl  0.5145  0.5145  0.5145  3 Zr 2.62
Ru  0.7343  0.7343  0.7343  3 Zr 2.57